Record 1
InBRh3, relaxed, DFT GGA-PBE; calculated formation energy = -0.296 eV per atom; density of states at the Fermi level = 7.58 states/eV per cell; SG = P-1 (2)
1.0
-0.817 -1.085 -5.778
-1.940 -7.072 4.646
-2.402 1.453 3.070
B Rh In
2 6 2
Cartesian
-2.706 -3.233 -0.628 B
-2.181 -6.150 -1.657 B
-3.320 -5.222 -0.168 Rh
-1.123 -3.502 0.746 Rh
-1.945 -6.952 4.555 Rh
-2.947 -4.797 2.747 Rh
-2.125 -1.346 -1.062 Rh
-1.568 -4.162 -2.116 Rh
-1.798 -1.071 1.888 In
-2.272 -7.228 1.605 In

Record 2
In2BRh, relaxed, DFT GGA-PBE; calculated formation energy = 0.311 eV per atom; density of states at the Fermi level = 4.52 states/eV per cell; SG = I-42d (122)
1.0
8.810 0.000 0.000
0.000 8.810 0.000
4.405 4.405 2.049
B Rh In
2 2 4
Cartesian
4.405 4.405 0.000 B
4.405 8.810 1.024 B
0.000 0.000 0.000 Rh
8.810 4.405 1.024 Rh
5.300 2.203 0.512 In
3.510 6.608 0.512 In
6.608 7.915 1.537 In
11.013 9.705 1.537 In

Record 3
InBRh3, relaxed, DFT GGA-PBE; calculated formation energy = 0.027 eV per atom; density of states at the Fermi level = 8.59 states/eV per cell; SG = Cmcm (63)
1.0
2.730 -5.176 0.000
2.730 5.176 0.000
0.000 0.000 5.161
B Rh In
2 6 2
Cartesian
2.730 3.482 1.290 B
2.730 -3.482 3.871 B
1.388 1.926 1.290 Rh
4.073 1.926 1.290 Rh
1.388 -1.926 3.871 Rh
4.073 -1.926 3.871 Rh
0.000 0.000 0.000 Rh
0.000 0.000 2.581 Rh
2.730 -0.839 1.290 In
2.730 0.839 3.871 In

Record 4
InBRh3, relaxed, DFT GGA-PBE; calculated formation energy = 0.304 eV per atom; density of states at the Fermi level = 4.38 states/eV per cell; SG = P4mm (99)
1.0
3.801 0.000 0.000
0.000 3.801 0.000
0.000 0.000 6.509
B Rh In
1 3 1
Cartesian
1.901 1.901 3.693 B
0.000 0.000 4.675 Rh
1.901 0.000 2.803 Rh
0.000 1.901 2.803 Rh
0.000 0.000 0.762 In

Record 5
InBRh4, relaxed, DFT GGA-PBE; calculated formation energy = 0.072 eV per atom; density of states at the Fermi level = 10.18 states/eV per cell; SG = C2/m (12)
1.0
3.787 0.000 0.001
0.000 3.788 0.003
0.006 0.011 6.568
In B Rh
1 1 4
Cartesian
1.905 1.896 6.558 In
0.008 3.784 3.275 B
1.900 3.778 1.994 Rh
1.904 3.790 4.558 Rh
0.011 1.894 4.555 Rh
0.005 1.885 1.992 Rh

Record 6
InBRh3, relaxed, DFT GGA-PBE; calculated formation energy = -0.198 eV per atom; density of states at the Fermi level = 7.09 states/eV per cell; SG = R-3 (148)
1.0
-2.082 7.084 1.771
2.869 6.945 1.090
-0.196 7.032 -2.859
B Rh In
2 6 2
Cartesian
0.098 3.480 0.000 B
0.493 17.581 0.001 B
-0.759 9.297 -1.280 Rh
1.878 9.223 -0.242 Rh
0.929 11.776 -1.522 Rh
-1.287 11.838 0.244 Rh
1.350 11.764 1.281 Rh
-0.339 9.285 1.524 Rh
0.196 6.997 0.000 In
0.394 14.064 0.001 In

Record 7
InBRh3, relaxed, DFT GGA-PBE; calculated formation energy = 0.186 eV per atom; density of states at the Fermi level = 13.56 states/eV per cell; SG = I-4m2 (119)
1.0
5.092 0.000 0.000
0.000 5.092 0.000
2.546 2.546 6.367
B Rh In
2 6 2
Cartesian
0.000 0.000 0.000 B
2.546 5.092 3.184 B
1.251 5.092 1.632 Rh
2.546 6.387 4.735 Rh
2.546 3.797 4.735 Rh
3.841 5.092 1.632 Rh
2.546 2.546 2.235 Rh
5.092 5.092 4.132 Rh
5.092 2.546 5.409 In
5.092 2.546 0.958 In

Record 8
InB2Rh, relaxed, DFT GGA-PBE; calculated formation energy = 0.590 eV per atom; density of states at the Fermi level = 4.49 states/eV per cell; SG = I-42d (122)
1.0
-4.695 2.200 0.662
-1.965 -4.626 1.433
-2.251 -0.271 5.571
B Rh In
4 2 2
Cartesian
-3.419 0.577 1.940 B
-2.701 -2.533 2.417 B
-4.321 -1.432 5.063 B
-7.380 -2.008 5.913 B
-3.330 -1.213 1.047 Rh
-3.773 -3.055 4.026 Rh
0.000 0.000 0.000 In
-5.138 0.358 3.640 In

Record 9
InBRh3, relaxed, DFT GGA-PBE; calculated formation energy = -0.132 eV per atom; density of states at the Fermi level = 4.31 states/eV per cell; SG = Amm2 (38)
1.0
2.944 0.000 0.000
0.000 2.754 -4.560
0.000 2.754 4.560
B Rh In
1 3 1
Cartesian
0.000 2.754 3.657 B
1.472 1.421 -1.237 Rh
1.472 4.087 -1.237 Rh
0.000 2.754 -3.404 Rh
1.472 2.754 1.054 In

Record 10
InBRh3, relaxed, DFT GGA-PBE; calculated formation energy = -0.295 eV per atom; density of states at the Fermi level = 7.23 states/eV per cell; SG = P2/m (10)
1.0
-3.490 -3.302 -0.596
1.226 0.359 9.550
-2.153 2.240 0.192
B Rh In
2 6 2
Cartesian
-1.291 -0.259 5.502 B
-4.113 -0.790 5.300 B
-2.942 0.210 6.757 Rh
-2.452 -1.251 4.063 Rh
-1.462 -0.728 9.044 Rh
-0.130 0.733 6.942 Rh
-1.120 0.209 1.960 Rh
-1.793 1.513 4.439 Rh
-3.930 -0.317 1.836 In
-0.805 2.040 9.361 In

Record 11
InBRh3, relaxed, DFT GGA-PBE; calculated formation energy = 0.621 eV per atom; density of states at the Fermi level = 8.12 states/eV per cell; SG = I-4m2 (119)
1.0
-2.376 3.404 -1.941
1.460 -1.338 -4.133
-8.310 -4.930 -3.881
B Rh In
2 6 2
Cartesian
-7.289 -1.551 -4.614 B
-3.855 1.058 -4.245 B
-1.083 -1.995 -4.818 Rh
-5.245 -4.451 -6.792 Rh
-5.991 -3.767 -4.680 Rh
-2.297 -0.256 -5.810 Rh
-2.772 -0.724 -3.286 Rh
-6.454 -2.139 -6.669 Rh
0.000 0.000 0.000 In
-3.654 -2.617 -5.525 In

Record 12
InB3Rh6, relaxed, DFT GGA-PBE; calculated formation energy = -0.222 eV per atom; density of states at the Fermi level = 14.36 states/eV per cell; SG = Cmc2_1 (36)
1.0
-2.107 5.116 -0.627
-6.268 -2.633 -0.419
0.206 0.912 6.747
In B Rh
2 6 12
Cartesian
-1.384 0.123 5.009 In
-5.786 0.848 0.989 In
-6.579 0.651 4.215 B
-6.399 3.884 5.267 B
-3.349 1.306 3.449 B
-5.340 3.350 2.097 B
-2.514 4.987 1.210 B
-2.693 1.754 0.159 B
-4.606 -0.392 3.878 Rh
-5.242 2.395 4.027 Rh
-3.745 0.845 6.084 Rh
-7.533 1.905 2.744 Rh
-0.365 2.291 6.575 Rh
-2.394 2.683 4.737 Rh
-4.761 -1.748 1.265 Rh
-7.888 1.307 -0.899 Rh
-0.724 1.703 2.931 Rh
-4.512 2.763 -0.410 Rh
-2.590 0.180 1.774 Rh
-3.225 2.967 1.923 Rh